The following is a PBE-GGA calculation of crystalline LiCr2B6 at its relaxed geometry, from the Alexandria database.

Output
- ρ (Mg/m³) = 4.310
- volume (Å³/atom) = 7.53

Cell: 5.1673 5.1673 2.9294 Å, 90.00 90.00 120.00°
Space group P6/mmm (No. 191)
One atom of each set of equivalent atoms:
1 Li 0.0000 0.0000 0.0000 x1
2 Cr 0.3333 0.6667 0.0000 x2
3 B 0.0000 0.3329 0.5000 x6

=====

The following is a PBE-GGA calculation of crystalline Li2CrB10 at its relaxed geometry, from the Alexandria database.

Output
- ρ (Mg/m³) = 2.293
- volume (Å³/atom) = 9.69

Cell: 4.930 12.157 4.205 Å, 90.00 90.00 90.00°
Space group Pbam (No. 55)
One atom of each set of equivalent atoms:
1 Li 0.229 0.170 0.000 x4
2 Cr 0.000 0.500 0.500 x2
3 B 0.033 0.321 0.500 x4
4 B 0.058 0.937 0.500 x4
5 B 0.125 0.800 0.500 x4
6 B 0.231 0.375 0.194 x8

=====

The following is a PBE-GGA calculation of crystalline LiCrB14 at its relaxed geometry, from the Alexandria database.

Output
- ρ (Mg/m³) = 2.837
- volume (Å³/atom) = 7.69

Cell: 5.891 10.287 8.123 Å, 90.00 90.00 90.00°
Space group Imma (No. 74)
One atom of each set of equivalent atoms:
1 Li 0.000 0.250 0.162 x4
2 Cr 0.250 0.250 0.750 x4
3 B 0.000 0.088 0.669 x8
4 B 0.000 0.150 0.887 x8
5 B 0.000 0.167 0.465 x8
6 B 0.158 0.061 0.334 x16
7 B 0.247 0.081 0.543 x16

=====

| no. | energy relative to the elements (eV/atom) |
| --- | --- |
| 1 | -0.3239 |
| 2 | 0.1037 |
| 3 | -0.1234 |